(1)
A geometry-optimized ZrSiC3 structure, computed with PBE.

Lattice parameters (Å, degrees): 3.7462 3.7462 3.7462 90.00 90.00 90.00
With the nearest neighbours (Å) after each atom.
Fractional coordinates of all 5 atoms:
C: 0.5000 0.0000 0.0000  2 Si 1.87
C: 0.0000 0.0000 0.5000  2 Si 1.87
C: 0.0000 0.5000 0.0000  2 Si 1.87
Zr: 0.5000 0.5000 0.5000  12 C 2.65
Si: 0.0000 0.0000 0.0000  6 C 1.87

Results
Energy above the most stable polymorph in this dataset   0.000 eV/atom
Formation energy from raw total energies   1.088 eV/atom
Space group   No. 221

***

(2)
A geometry-optimized ZrSi2C structure, computed with PBE.

Lattice parameters (Å, degrees): 6.2144 6.2144 5.3210 54.27 54.27 90.00
With the nearest neighbours (Å) after each atom.
Fractional coordinates of all 8 atoms:
Si: 0.2245 0.6250 0.2500  2 C 1.96
Si: 0.3750 0.4745 0.7500  2 C 1.96
Si: 0.5255 0.1250 0.2500  2 C 1.96
Si: 0.8750 0.7755 0.7500  2 C 1.96
C: 0.5000 0.5000 0.0000  4 Si 1.96
C: 0.2500 0.7500 0.5000  4 Si 1.96
Zr: 0.0000 0.0000 0.0000  8 Si 2.77-2.89, 2 C 3.00
Zr: 0.7500 0.2500 0.5000  8 Si 2.77-2.89, 2 C 3.00

Results
Formation energy from raw total energies   0.143 eV/atom
Space group   No. 122

***

(3)
A geometry-optimized Zr2SiC structure, computed with PBE.

Lattice parameters (Å, degrees): 3.3565 3.3565 6.9571 90.09 103.90 119.93
With the nearest neighbours (Å) after each atom.
Fractional coordinates of all 4 atoms:
Zr: 0.5381 0.2684 0.8065  3 C 2.33
Zr: 0.4619 0.7316 0.1935  3 C 2.33
C: 0.0000 0.0000 0.0000  6 Zr 2.33
Si: 0.0000 0.5000 0.5000  6 Zr 2.82

Results
Formation energy from raw total energies   -0.690 eV/atom
Space group   No. 12

***

(4)
A geometry-optimized ZrSi3C structure, computed with PBE.

Lattice parameters (Å, degrees): 4.1296 4.1296 4.1296 90.00 90.00 90.00
With the nearest neighbours (Å) after each atom.
Fractional coordinates of all 5 atoms:
Si: 0.0000 0.0000 0.5000  2 C 2.06
Si: 0.5000 0.0000 0.0000  2 C 2.06
Si: 0.0000 0.5000 0.0000  2 C 2.06
C: 0.0000 0.0000 0.0000  6 Si 2.06
Zr: 0.5000 0.5000 0.5000  12 Si 2.92

Results
Energy above the most stable polymorph in this dataset   0.000 eV/atom
Formation energy from raw total energies   0.575 eV/atom
Space group   No. 221

***

(5)
A geometry-optimized Zr2SiC structure, computed with PBE.

Lattice parameters (Å, degrees): 4.4860 4.4860 4.4860 60.00 60.00 60.00
With the nearest neighbours (Å) after each atom.
Fractional coordinates of all 4 atoms:
Si: 0.5000 0.5000 0.5000  8 Zr 2.75
C: 0.0000 0.0000 0.0000  8 Zr 2.75
Zr: 0.2500 0.2500 0.2500  4 C 2.75, 4 Si 2.75
Zr: 0.7500 0.7500 0.7500  4 Si 2.75, 4 C 2.75

Results
Formation energy from raw total energies   0.366 eV/atom
Space group   No. 225

***

(6)
A geometry-optimized Sm2C structure, computed with PBE.

Lattice parameters (Å, degrees): 3.6484 3.6476 13.0252 90.00 90.00 120.01
With the nearest neighbours (Å) after each atom.
Fractional coordinates of all 6 atoms:
C: 0.5000 0.5000 0.0000  6 Sm 2.52-2.54
C: 0.0000 0.5000 0.5000  6 Sm 2.52-2.54
Sm: 0.1645 0.8290 0.8931  3 C 2.52-2.54
Sm: 0.6645 0.8290 0.6069  3 C 2.52-2.54
Sm: 0.8355 0.1710 0.1069  3 C 2.52-2.54
Sm: 0.3355 0.1710 0.3931  3 C 2.52-2.54

Results
Energy of formation   -45 kJ/mol of formula units
Space group   No. 64